No. 1
## NpCuTe2 (PBE)

Data for an optimized crystal structure of NpCuTe2.

abc: 4.3178 16.0428 6.4094
angles: 90.00 90.00 90.00
With the nearest neighbours (Å) after each atom.
Space group Cmc2_1 (No. 36)
Asymmetric unit:
Np 0.0000 0.1878 0.0000 x4  6 Te 3.02-3.24, 2 Cu 3.33
Cu 0.0000 0.3969 0.8334 x4  4 Te 2.56-2.68
Te 0.0000 0.1704 0.4970 x4  2 Cu 2.63
Te 0.0000 0.4429 0.4513 x4  2 Cu 2.56-2.68

Results
Crystal system: orthorhombic
ΔE_f (raw), eV per atom: -0.39
Size of the total moment, μB per atom: 1.000

No. 2
## MgZr2Re (PBE)

Data for an optimized crystal structure of MgZr2Re.

abc: 2.8627 2.8627 9.6185
angles: 90.00 90.00 90.00
With the nearest neighbours (Å) after each atom.
Space group P4mm (No. 99)
Asymmetric unit:
Mg 0.0000 0.0000 0.0000 x1  4 Mg 2.86, 4 Re 2.91
Zr 0.0000 0.0000 0.4580 x1  4 Zr 2.86, 4 Re 3.07
Zr 0.5000 0.5000 0.7273 x1  4 Zr 2.86
Re 0.5000 0.5000 0.2174 x1  4 Re 2.86, 4 Mg 2.91, 4 Zr 3.07

Results
Crystal system: tetragonal
Size of the total moment, μB per atom: 0.011
Calculated total energy, eV/atom: -7.4959

No. 3
## BeAuO2 (PBE)

Data for an optimized crystal structure of BeAuO2.

abc: 2.7690 2.7690 17.4980
angles: 90.00 90.00 120.00
With the nearest neighbours (Å) after each atom.
Space group R-3m (No. 166, hexagonal axes)
Asymmetric unit:
Be 0.0000 0.0000 0.0000 x3  6 O 1.84
Au 0.0000 0.0000 0.5000 x3  2 O 2.01
O 0.0000 0.0000 0.3852 x6  3 Be 1.84, 1 Au 2.01

Results
Crystal system: trigonal
ΔE_f (raw), eV per atom: -1.05
Size of the total moment, μB per atom: 0.000

No. 4
## ZnGaNF2 (PBE)

Data for an optimized crystal structure of ZnGaNF2.

abc: 3.8677 3.8677 4.2990
angles: 90.00 90.00 90.00
With the nearest neighbours (Å) after each atom.
Space group P4/mmm (No. 123)
Asymmetric unit:
Zn 0.0000 0.0000 0.0000 x1  4 F 1.93, 2 N 2.15
Ga 0.5000 0.5000 0.5000 x1  4 N 2.73, 8 F 2.89
N 0.0000 0.0000 0.5000 x1  2 Zn 2.15
F 0.0000 0.5000 0.0000 x2  2 Zn 1.93

Results
Crystal system: tetragonal
ΔE_f (raw), eV per atom: -0.56
Energy above the most stable polymorph in this dataset, meV per atom: 271
Size of the total moment, μB per atom: 0.000

No. 5
## La3Y2HoSe6 (PBE)

Data for an optimized crystal structure of La3Y2HoSe6.

abc: 7.1909 12.4979 7.3628
angles: 90.00 109.08 90.00
With the nearest neighbours (Å) after each atom.
Space group C2/m (No. 12)
Asymmetric unit:
La 0.0000 0.0000 0.0000 x2  6 Se 3.04-3.05
La 0.0000 0.3323 0.0000 x4  6 Se 3.04-3.05
Y 0.0000 0.1665 0.5000 x4  6 Se 2.89-2.90
Ho 0.0000 0.5000 0.5000 x2  6 Se 2.88
Se 0.2424 0.3342 0.7306 x8  1 Ho 2.88, 2 Y 2.89, 3 La 3.04-3.05
Se 0.2458 0.0000 0.7317 x4  1 Ho 2.88, 2 Y 2.90, 3 La 3.05

Results
Crystal system: monoclinic
ΔE_f (raw), eV per atom: -1.89
Size of the total moment, μB per atom: 0.000

No. 6
## NaTb2Te6Pb3 (PBE)

Data for an optimized crystal structure of NaTb2Te6Pb3.

abc: 19.9634 4.4708 9.2823
angles: 90.00 104.39 90.00
With the nearest neighbours (Å) after each atom.
Space group C2/m (No. 12)
Asymmetric unit:
Na 0.0000 0.0000 0.0000 x2  6 Te 3.21-3.37
Tb 0.1676 0.5000 0.3457 x4  6 Te 3.07-3.15
Te 0.0088 0.5000 0.2524 x4  1 Tb 3.07, 2 Na 3.21, 3 Pb 3.21-3.24
Te 0.1706 0.0000 0.5838 x4  3 Tb 3.13, 3 Pb 3.30-3.39
Te 0.1742 0.0000 0.1108 x4  2 Tb 3.15, 3 Pb 3.26-3.29, 1 Na 3.37
Pb 0.0000 0.0000 0.5000 x2  6 Te 3.24-3.30
Pb 0.1572 0.5000 0.8493 x4  6 Te 3.21-3.39

Results
Crystal system: monoclinic
ΔE_f (raw), eV per atom: -0.80
Size of the total moment, μB per atom: 0.000